# 1
Computed, not measured: an optimized crystal structure of AcCePm2As4 at the PBE level of DFT.

Cell: 4.316 7.474 7.482 Å, 70.62 90.00 90.00°
Positions (direct):
Ce1 0.000 0.500 0.500
As1 0.500 0.753 0.258
As2 0.000 0.241 0.263
As3 0.000 0.759 0.737
As4 0.500 0.247 0.742
Pm1 0.500 0.000 0.500
Pm2 0.000 0.000 0.000
Ac1 0.500 0.500 0.000

Properties
Uncorrected energy in Ry/atom: -0.4583
Formation energy in eV/f.u.: -11.7
SG: No. 10

***

# 2
Computed, not measured: an optimized crystal structure of Cd2GaPt2 at the PBE level of DFT.

Cell: 6.612 6.612 4.266 Å, 90.00 90.00 90.00°
Positions (direct):
Pt1 0.149 0.351 0.000
Pt2 0.851 0.649 0.000
Pt3 0.351 0.851 0.000
Pt4 0.649 0.149 0.000
Ga1 0.000 0.000 0.000
Ga2 0.500 0.500 0.000
Cd1 0.658 0.842 0.500
Cd2 0.842 0.342 0.500
Cd3 0.158 0.658 0.500
Cd4 0.342 0.158 0.500

Properties
Uncorrected energy in Ry/atom: -0.2770
Distance to the lowest polymorph of the same formula in meV/atom: 52
Formation energy in eV/f.u.: -1.9
SG: No. 127

***

# 3
Computed, not measured: an optimized crystal structure of Ac4MgRu at the PBE level of DFT.

Cell: 8.753 8.753 8.753 Å, 108.47 108.47 111.49°
Positions (direct):
Ru1 0.501 0.001 0.500
Ru2 0.751 0.751 0.000
Ac1 0.761 0.967 0.794
Ac2 0.717 0.422 0.706
Ac3 0.349 0.535 0.814
Ac4 0.721 0.535 0.186
Ac5 0.172 0.967 0.206
Ac6 0.285 0.971 0.686
Ac7 0.285 0.599 0.314
Ac8 0.717 0.011 0.294
Mg1 0.995 0.495 0.500
Mg2 0.245 0.245 0.000

Properties
Uncorrected energy in Ry/atom: -0.3267
Distance to the lowest polymorph of the same formula in meV/atom: 264
Formation energy in eV/f.u.: 0.6
SG: No. 109

***

# 4
Computed, not measured: an optimized crystal structure of MnAgW2 at the PBE level of DFT.

Cell: 4.822 4.822 4.822 Å, 132.45 132.45 69.52°
Positions (direct):
W1 0.000 0.000 0.000
W2 0.500 0.500 0.000
Mn1 0.750 0.250 0.500
Ag1 0.250 0.750 0.500

Properties
Uncorrected energy in Ry/atom: -0.6532
Distance to the lowest polymorph of the same formula in meV/atom: 268
Formation energy in eV/f.u.: 2.4
SG: No. 139

***

# 5
Computed, not measured: an optimized crystal structure of Th3CoSeS at the PBE level of DFT.

Cell: 3.833 7.128 11.322 Å, 102.26 90.00 90.00°
Positions (direct):
S1 0.250 0.116 0.641
S2 0.750 0.884 0.359
Se1 0.750 0.650 0.692
Se2 0.250 0.350 0.308
Co1 0.250 0.765 0.049
Co2 0.750 0.235 0.951
Th1 0.750 0.039 0.142
Th2 0.750 0.557 0.152
Th3 0.750 0.268 0.501
Th4 0.250 0.961 0.858
Th5 0.250 0.443 0.848
Th6 0.250 0.732 0.499

Properties
Uncorrected energy in Ry/atom: -0.5290
Formation energy from raw total energies in eV per atom: -1.03
SG: No. 11

***

# 6
Computed, not measured: an optimized crystal structure of NpTi2Zn at the PBE level of DFT.

Cell: 2.969 4.784 4.784 Å, 90.00 90.00 90.00°
Positions (direct):
Np1 0.500 0.500 0.500
Ti1 0.000 0.000 0.500
Ti2 0.000 0.500 0.000
Zn1 0.500 0.000 0.000

Properties
Uncorrected energy in Ry/atom: -0.5444
Distance to the lowest polymorph of the same formula in meV/atom: 25
Formation energy in eV/f.u.: 0.4
SG: No. 123